No. 1
# Sr2Ta2O7 (GGA-PBE, relaxed)
# crystal system = orthorhombic
# E above lowest polymorph = 0 meV per atom
# space-group type = Cmcm (63)
# E_form (uncorrected) = -3.060 eV/atom
# spin magnetization = 0.00 μB/f.u.
data_Sr2Ta2O7
_symmetry_space_group_name_H-M 'P 1'
_symmetry_Int_Tables_number 1
_cell_length_a 13.971
_cell_length_b 13.971
_cell_length_c 5.756
_cell_angle_alpha 90.00
_cell_angle_beta 90.00
_cell_angle_gamma 163.59
loop_
_symmetry_equiv_pos_as_xyz
'x,y,z'
loop_
_atom_site_label
_atom_site_type_symbol
_atom_site_fract_x
_atom_site_fract_y
_atom_site_fract_z
Sr1 Sr 0.715 0.285 0.250
O1 O 0.901 0.099 0.008
O2 O 0.351 0.649 0.250
O3 O 0.901 0.099 0.492
O4 O 0.000 0.000 0.500
O5 O 0.794 0.206 0.012
O6 O 0.099 0.901 0.508
Sr2 Sr 0.553 0.447 0.750
O7 O 0.206 0.794 0.988
O8 O 0.794 0.206 0.488
Ta1 Ta 0.841 0.159 0.250
O9 O 0.206 0.794 0.512
O10 O 0.453 0.547 0.750
O11 O 0.099 0.901 0.992
O12 O 0.649 0.351 0.750
Ta2 Ta 0.945 0.055 0.750
Sr3 Sr 0.285 0.715 0.750
O13 O 0.547 0.453 0.250
Ta3 Ta 0.055 0.945 0.250
Ta4 Ta 0.159 0.841 0.750
Sr4 Sr 0.447 0.553 0.250
O14 O 0.000 0.000 0.000


No. 2
# SrTa3O (GGA-PBE, relaxed)
# crystal system = cubic
# E above lowest polymorph = 3367 meV per atom
# space-group type = Pm-3m (221)
# E_form (uncorrected) = 3.482 eV/atom
# spin magnetization = 0.00 μB/f.u.
data_SrTa3O
_symmetry_space_group_name_H-M 'P 1'
_symmetry_Int_Tables_number 1
_cell_length_a 4.898
_cell_length_b 4.898
_cell_length_c 4.898
_cell_angle_alpha 90.00
_cell_angle_beta 90.00
_cell_angle_gamma 90.00
loop_
_symmetry_equiv_pos_as_xyz
'x,y,z'
loop_
_atom_site_label
_atom_site_type_symbol
_atom_site_fract_x
_atom_site_fract_y
_atom_site_fract_z
Ta1 Ta 0.000 0.000 0.500
Sr1 Sr 0.000 0.000 0.000
Ta2 Ta 0.000 0.500 0.000
O1 O 0.500 0.500 0.500
Ta3 Ta 0.500 0.000 0.000


No. 3
# Sr2Ta2O7 (GGA-PBE, relaxed)
# crystal system = orthorhombic
# E above lowest polymorph = 294 meV per atom
# space-group type = Cmmm (65)
# E_form (uncorrected) = -2.766 eV/atom
# spin magnetization = 0.00 μB/f.u.
data_Sr2Ta2O7
_symmetry_space_group_name_H-M 'P 1'
_symmetry_Int_Tables_number 1
_cell_length_a 5.635
_cell_length_b 5.079
_cell_length_c 5.079
_cell_angle_alpha 97.92
_cell_angle_beta 90.00
_cell_angle_gamma 90.00
loop_
_symmetry_equiv_pos_as_xyz
'x,y,z'
loop_
_atom_site_label
_atom_site_type_symbol
_atom_site_fract_x
_atom_site_fract_y
_atom_site_fract_z
O1 O 0.222 0.000 0.500
O2 O 0.778 0.500 0.000
Ta1 Ta 0.000 0.280 0.720
Sr1 Sr 0.500 0.239 0.239
Sr2 Sr 0.500 0.761 0.761
O3 O 0.778 0.000 0.500
O4 O 0.791 0.500 0.500
O5 O 0.000 0.000 0.000
Ta2 Ta 0.000 0.720 0.280
O6 O 0.222 0.500 0.000
O7 O 0.209 0.500 0.500


No. 4
# SrTa4O11 (GGA-PBE, relaxed)
# crystal system = hexagonal
# space-group type = P6_322 (182)
# E_form (uncorrected) = -2.955 eV/atom
# spin magnetization = 0.00 μB/f.u.
data_SrTa4O11
_symmetry_space_group_name_H-M 'P 1'
_symmetry_Int_Tables_number 1
_cell_length_a 6.324
_cell_length_b 6.324
_cell_length_c 12.454
_cell_angle_alpha 90.00
_cell_angle_beta 90.00
_cell_angle_gamma 120.00
loop_
_symmetry_equiv_pos_as_xyz
'x,y,z'
loop_
_atom_site_label
_atom_site_type_symbol
_atom_site_fract_x
_atom_site_fract_y
_atom_site_fract_z
Ta1 Ta 0.644 0.644 0.000
Ta2 Ta 0.333 0.667 0.250
O1 O 0.243 0.000 0.500
Sr1 Sr 0.667 0.333 0.250
O2 O 0.667 0.333 0.466
Ta3 Ta 0.644 0.000 0.500
O3 O 0.757 0.757 0.500
O4 O 0.333 0.667 0.534
O5 O 0.372 0.434 0.346
O6 O 0.062 0.628 0.346
O7 O 0.000 0.757 0.000
O8 O 0.062 0.434 0.154
O9 O 0.628 0.062 0.654
O10 O 0.434 0.372 0.654
O11 O 0.434 0.062 0.846
O12 O 0.667 0.333 0.034
Ta4 Ta 0.356 0.356 0.500
Ta5 Ta 0.000 0.356 0.000
O13 O 0.000 0.243 0.500
Ta6 Ta 0.356 0.000 0.000
O14 O 0.243 0.243 0.000
Sr2 Sr 0.333 0.667 0.750
O15 O 0.566 0.628 0.154
Ta7 Ta 0.667 0.333 0.750
O16 O 0.566 0.938 0.346
O17 O 0.333 0.667 0.966
O18 O 0.757 0.000 0.000
O19 O 0.372 0.938 0.154
O20 O 0.938 0.566 0.654
O21 O 0.628 0.566 0.846
O22 O 0.938 0.372 0.846
Ta8 Ta 0.000 0.644 0.500


No. 5
# SrTa3O (GGA-PBE, relaxed)
# crystal system = cubic
# E above lowest polymorph = 0 meV per atom
# space-group type = Pm-3m (221)
# E_form (uncorrected) = 0.115 eV/atom
# spin magnetization = 0.00 μB/f.u.
data_SrTa3O
_symmetry_space_group_name_H-M 'P 1'
_symmetry_Int_Tables_number 1
_cell_length_a 4.475
_cell_length_b 4.475
_cell_length_c 4.475
_cell_angle_alpha 90.00
_cell_angle_beta 90.00
_cell_angle_gamma 90.00
loop_
_symmetry_equiv_pos_as_xyz
'x,y,z'
loop_
_atom_site_label
_atom_site_type_symbol
_atom_site_fract_x
_atom_site_fract_y
_atom_site_fract_z
Ta1 Ta 0.500 0.000 0.000
Sr1 Sr 0.500 0.500 0.500
Ta2 Ta 0.000 0.000 0.500
Ta3 Ta 0.000 0.500 0.000
O1 O 0.000 0.000 0.000


No. 6
# Sr3Ta2O8 (GGA-PBE, relaxed)
# crystal system = monoclinic
# E above lowest polymorph = 0 meV per atom
# space-group type = C2/c (15)
# E_form (uncorrected) = -2.990 eV/atom
# spin magnetization = 0.00 μB/f.u.
data_Sr3Ta2O8
_symmetry_space_group_name_H-M 'P 1'
_symmetry_Int_Tables_number 1
_cell_length_a 6.770
_cell_length_b 6.770
_cell_length_c 9.710
_cell_angle_alpha 73.57
_cell_angle_beta 73.57
_cell_angle_gamma 84.91
loop_
_symmetry_equiv_pos_as_xyz
'x,y,z'
loop_
_atom_site_label
_atom_site_type_symbol
_atom_site_fract_x
_atom_site_fract_y
_atom_site_fract_z
O1 O 0.903 0.004 0.913
O2 O 0.641 0.822 0.201
O3 O 0.359 0.178 0.799
O4 O 0.671 0.090 0.345
Sr1 Sr 0.739 0.633 0.996
Ta1 Ta 0.210 0.923 0.878
Sr2 Sr 0.739 0.261 0.750
O5 O 0.329 0.910 0.655
O6 O 0.090 0.671 0.845
O7 O 0.270 0.622 0.520
O8 O 0.730 0.378 0.480
Ta2 Ta 0.077 0.790 0.622
Sr3 Sr 0.261 0.739 0.250
Sr4 Sr 0.261 0.367 0.004
O9 O 0.822 0.641 0.701
Sr5 Sr 0.367 0.261 0.504
O10 O 0.378 0.730 0.980
Sr6 Sr 0.633 0.739 0.496
O11 O 0.004 0.903 0.413
Ta3 Ta 0.923 0.210 0.378
O12 O 0.996 0.097 0.587
Ta4 Ta 0.790 0.077 0.122
O13 O 0.622 0.270 0.020
O14 O 0.178 0.359 0.299
O15 O 0.910 0.329 0.155
O16 O 0.097 0.996 0.087


No. 7
# Sr2Ta2O7 (GGA-PBE, relaxed)
# crystal system = monoclinic
# E above lowest polymorph = 57 meV per atom
# space-group type = C2/m (12)
# E_form (uncorrected) = -3.003 eV/atom
# spin magnetization = 0.00 μB/f.u.
data_Sr2Ta2O7
_symmetry_space_group_name_H-M 'P 1'
_symmetry_Int_Tables_number 1
_cell_length_a 5.734
_cell_length_b 6.246
_cell_length_c 6.246
_cell_angle_alpha 113.11
_cell_angle_beta 96.41
_cell_angle_gamma 96.41
loop_
_symmetry_equiv_pos_as_xyz
'x,y,z'
loop_
_atom_site_label
_atom_site_type_symbol
_atom_site_fract_x
_atom_site_fract_y
_atom_site_fract_z
Sr1 Sr 0.000 0.687 0.313
Sr2 Sr 0.000 0.313 0.687
O1 O 0.213 0.373 0.074
O2 O 0.698 0.434 0.434
Ta1 Ta 0.393 0.251 0.251
O3 O 0.500 0.000 0.000
O4 O 0.302 0.566 0.566
Ta2 Ta 0.607 0.749 0.749
O5 O 0.213 0.074 0.373
O6 O 0.787 0.627 0.926
O7 O 0.787 0.926 0.627


No. 8
# Sr3Ta2O9 (GGA-PBE, relaxed)
# crystal system = trigonal
# space-group type = P-3m1 (164)
# E_form (uncorrected) = -2.556 eV/atom
# spin magnetization = 2.09 μB/f.u.
data_Sr3Ta2O9
_symmetry_space_group_name_H-M 'P 1'
_symmetry_Int_Tables_number 1
_cell_length_a 5.708
_cell_length_b 5.708
_cell_length_c 7.269
_cell_angle_alpha 90.00
_cell_angle_beta 90.00
_cell_angle_gamma 120.00
loop_
_symmetry_equiv_pos_as_xyz
'x,y,z'
loop_
_atom_site_label
_atom_site_type_symbol
_atom_site_fract_x
_atom_site_fract_y
_atom_site_fract_z
Ta1 Ta 0.667 0.333 0.169
O1 O 0.000 0.500 0.000
O2 O 0.827 0.655 0.318
O3 O 0.655 0.827 0.682
Sr1 Sr 0.667 0.333 0.636
Sr2 Sr 0.333 0.667 0.364
O4 O 0.500 0.500 0.000
O5 O 0.500 0.000 0.000
O6 O 0.173 0.827 0.682
Sr3 Sr 0.000 0.000 0.000
O7 O 0.827 0.173 0.318
Ta2 Ta 0.333 0.667 0.831
O8 O 0.173 0.345 0.682
O9 O 0.345 0.173 0.318